1.
Entry from Alexandria via LeMat-Bulk: a relaxed Zr6Zn2Au crystal (PBE-GGA).

Unit cell a=8.380 b=8.788 c=10.164 alpha=90.00 beta=90.00 gamma=90.00
Space group Immm (No. 71)
Inequivalent atoms, fractional coordinates:
Zr (0.000, 0.218, 0.175)
Zr (0.196, 0.211, 0.500)
Zr (0.197, 0.500, 0.256)
Zn (0.000, 0.000, 0.373)
Zn (0.152, 0.000, 0.000)
Au (0.000, 0.500, 0.000)
Au (0.000, 0.500, 0.500)

Summary:
calculated formation energy: -160 meV/atom

---

2.
Entry from Alexandria via LeMat-Bulk: a relaxed ZrZnAu2 crystal (PBE-GGA).

Unit cell a=2.886 b=4.980 c=10.957 alpha=90.00 beta=90.00 gamma=90.00
Space group Immm (No. 71)
Inequivalent atoms, fractional coordinates:
Zr (0.000, 0.000, 0.000)
Zn (0.000, 0.000, 0.500)
Au (0.000, 0.000, 0.261)

Summary:
calculated formation energy: 49 meV/atom

---

3.
Entry from Alexandria via LeMat-Bulk: a relaxed Zr2ZnAu crystal (PBE-GGA).

Unit cell a=4.090 b=4.090 c=9.288 alpha=90.00 beta=90.00 gamma=90.00
Space group I-4m2 (No. 119)
Inequivalent atoms, fractional coordinates:
Zr (0.000, 0.000, 0.000)
Zr (0.000, 0.500, 0.250)
Zn (0.000, 0.000, 0.500)
Au (0.000, 0.500, 0.750)

Summary:
calculated formation energy: -271 meV/atom

---

4.
Entry from Alexandria via LeMat-Bulk: a relaxed Zr2ZnAu crystal (PBE-GGA).

Unit cell a=3.064 b=4.904 c=5.157 alpha=90.00 beta=90.00 gamma=90.00
Space group Pmm2 (No. 25)
Inequivalent atoms, fractional coordinates:
Zr (0.000, 0.000, 0.000)
Zr (0.000, 0.500, 0.396)
Zn (0.500, 0.000, 0.500)
Au (0.500, 0.500, 0.868)

Summary:
calculated formation energy: -348 meV/atom

---

5.
Entry from Alexandria via LeMat-Bulk: a relaxed Zr6Zn3Au crystal (PBE-GGA).

Unit cell a=8.345 b=5.819 c=11.673 alpha=90.00 beta=133.33 gamma=90.00
Space group P2_1/c (No. 14)
Inequivalent atoms, fractional coordinates:
Zr (0.109, 0.090, 0.436)
Zr (0.261, 0.588, 0.438)
Zr (0.388, 0.717, 0.244)
Zn (0.000, 0.000, 0.000)
Zn (0.245, 0.239, 0.746)
Au (0.500, 0.000, 0.500)

Summary:
calculated formation energy: -61 meV/atom

---

6.
Entry from Alexandria via LeMat-Bulk: a relaxed ZrZn4Au crystal (PBE-GGA).

Unit cell a=4.3408 b=4.3408 c=6.0633 alpha=90.00 beta=90.00 gamma=120.00
Space group P6/mmm (No. 191)
Inequivalent atoms, fractional coordinates:
Zr (0.0000, 0.0000, 0.0000)
Zn (0.3333, 0.6667, 0.2556)
Au (0.0000, 0.0000, 0.5000)

Summary:
polymorph energy (0 for the lowest one): 0.0 kJ per mole of atoms
calculated formation energy: -272 meV/atom

---

7.
Entry from Alexandria via LeMat-Bulk: a relaxed Zr3Zn7Au crystal (PBE-GGA).

Unit cell a=3.196 b=19.424 c=12.755 alpha=90.00 beta=90.00 gamma=90.00
Space group Cmcm (No. 63)
Inequivalent atoms, fractional coordinates:
Zr (0.000, 0.118, 0.051)
Zr (0.000, 0.262, 0.750)
Zn (0.000, 0.263, 0.070)
Zn (0.000, 0.371, 0.152)
Zn (0.000, 0.409, 0.750)
Zn (0.000, 0.495, 0.092)
Au (0.000, 0.033, 0.750)

Summary:
calculated formation energy: -111 meV/atom

---

8.
Entry from Alexandria via LeMat-Bulk: a relaxed Zr4Zn2Au crystal (PBE-GGA).

Unit cell a=7.363 b=9.058 c=4.334 alpha=90.00 beta=90.00 gamma=90.00
Space group Cmmm (No. 65)
Inequivalent atoms, fractional coordinates:
Zr (0.213, 0.000, 0.000)
Zr (0.250, 0.250, 0.500)
Zn (0.000, 0.277, 0.000)
Au (0.000, 0.500, 0.500)

Summary:
calculated formation energy: -119 meV/atom

---

9.
Entry from Alexandria via LeMat-Bulk: a relaxed ZrZnAu2 crystal (PBE-GGA).

Unit cell a=3.1483 b=3.1483 c=26.7071 alpha=90.00 beta=90.00 gamma=120.00
Space group R3m (No. 160, hexagonal axes)
Inequivalent atoms, fractional coordinates:
Zr (0.0000, 0.0000, 0.0000)
Zn (0.0000, 0.0000, 0.2461)
Au (0.0000, 0.0000, 0.5059)
Au (0.0000, 0.0000, 0.7519)

Summary:
calculated formation energy: -152 meV/atom

---

10.
Entry from Alexandria via LeMat-Bulk: a relaxed Zr3ZnAu crystal (PBE-GGA).

Unit cell a=11.722 b=9.199 c=8.867 alpha=90.00 beta=120.94 gamma=90.00
Space group C2/c (No. 15)
Inequivalent atoms, fractional coordinates:
Zr (0.114, 0.157, 0.104)
Zr (0.167, 0.484, 0.082)
Zr (0.188, 0.160, 0.563)
Zn (0.118, 0.303, 0.786)
Au (0.000, 0.032, 0.750)
Au (0.000, 0.375, 0.250)

Summary:
polymorph energy (0 for the lowest one): 0.0 kJ per mole of atoms
calculated formation energy: -157 meV/atom

---

11.
Entry from Alexandria via LeMat-Bulk: a relaxed ZrZn2Au8 crystal (PBE-GGA).

Unit cell a=8.632 b=11.543 c=4.072 alpha=90.00 beta=92.31 gamma=90.00
Space group C2/m (No. 12)
Inequivalent atoms, fractional coordinates:
Zr (0.000, 0.000, 0.000)
Zn (0.000, 0.386, 0.500)
Au (0.000, 0.251, 0.000)
Au (0.165, 0.500, 0.992)
Au (0.175, 0.134, 0.508)

Summary:
calculated formation energy: -190 meV/atom

---

12.
Entry from Alexandria via LeMat-Bulk: a relaxed Zr2Zn6Au crystal (PBE-GGA).

Unit cell a=5.5093 b=5.5093 c=5.7748 alpha=90.00 beta=90.00 gamma=120.00
Space group P-3m1 (No. 164)
Inequivalent atoms, fractional coordinates:
Zr (0.3333, 0.6667, 0.1263)
Zn (0.1794, 0.3589, 0.6660)
Au (0.0000, 0.0000, 0.0000)

Summary:
calculated formation energy: -236 meV/atom